# BiTe2W, relaxed, DFT PBE
# electronic total energy: -66.70 eV for the cell shown
# crystal system: trigonal
# formation energy (no corrections): 0.22 eV per atom
# spin magnetization: 0.000 μB per cell
data_BiTe2W
_chemical_formula_sum 'Bi3 Te6 W3'
_cell_length_a 3.4752
_cell_length_b 3.4752
_cell_length_c 33.5140
_cell_angle_alpha 90.00
_cell_angle_beta 90.00
_cell_angle_gamma 120.00
_space_group_name_H-M_alt 'R -3 m'
_space_group_IT_number 166
_space_group_name_Hall '-R 3 2"'
loop_
_atom_site_label
_atom_site_type_symbol
_atom_site_fract_x
_atom_site_fract_y
_atom_site_fract_z
Bi1 Bi 0.0000 0.0000 0.0000
Te1 Te 0.0000 0.0000 0.1105
W1 W 0.0000 0.0000 0.5000